Here is crystalline Ac2Al2Si2P at its relaxed geometry from Alexandria via LeMat-Bulk. Energies are from PBE-GGA.

Calculated values
Formation energy from raw total energies   -0.570 eV per atom
Total magnetization   0.0 μB per formula unit

POSCAR file:
```
Ac2Al2Si2P
1.0
-2.5868 -1.0717 3.1631
3.8532 -0.1558 5.9690
2.3729 6.0505 3.9352
Ac Al Si P
2 2 2 1
Cartesian
3.7887 4.1581 10.1307
-0.1495 0.6649 2.9366
1.1783 3.0974 7.6455
2.4609 1.7256 5.4218
0.0762 1.2710 6.1438
3.5630 3.5520 6.9236
0.0000 0.0000 0.0000
```